(1)
# ScOsIN2, relaxed, DFT GGA-PBE
# energy relative to the elements, uncorrected	1542.2	meV/atom
# ΔE to the lowest computed polymorph	0.931	eV/atom
data_ScOsIN2
_symmetry_space_group_name_H-M 'P 4/m m m'
_symmetry_Int_Tables_number 123
_symmetry_space_group_name_Hall '-P 4 2'
_cell_length_a 4.0594
_cell_length_b 4.0594
_cell_length_c 6.0095
_cell_angle_alpha 90.00
_cell_angle_beta 90.00
_cell_angle_gamma 90.00
loop_
_atom_site_label
_atom_site_type_symbol
_atom_site_fract_x
_atom_site_fract_y
_atom_site_fract_z
_atom_site_occupancy
Sc1 Sc 0.0000 0.0000 0.0000 1
Os1 Os 0.5000 0.5000 0.5000 1
I1 I 0.0000 0.0000 0.5000 1
N1 N 0.0000 0.5000 0.0000 1


(2)
# CaZnRe2, relaxed, DFT GGA-PBE
# energy of formation from the pure elements	0.64	eV/atom
data_CaZnRe2
_symmetry_space_group_name_H-M 'P 4/m m m'
_symmetry_Int_Tables_number 123
_symmetry_space_group_name_Hall '-P 4 2'
_cell_length_a 3.8407
_cell_length_b 3.8407
_cell_length_c 4.6656
_cell_angle_alpha 90.00
_cell_angle_beta 90.00
_cell_angle_gamma 90.00
loop_
_atom_site_label
_atom_site_type_symbol
_atom_site_fract_x
_atom_site_fract_y
_atom_site_fract_z
_atom_site_occupancy
Ca1 Ca 0.0000 0.0000 0.0000 1
Zn1 Zn 0.5000 0.5000 0.0000 1
Re1 Re 0.0000 0.5000 0.5000 1


(3)
# MnCoI2N, relaxed, DFT GGA-PBE
# energy relative to the elements, uncorrected	734.9	meV/atom
# ΔE to the lowest computed polymorph	0.168	eV/atom
data_MnCoI2N
_symmetry_space_group_name_H-M 'P 4/m m m'
_symmetry_Int_Tables_number 123
_symmetry_space_group_name_Hall '-P 4 2'
_cell_length_a 5.3252
_cell_length_b 5.3252
_cell_length_c 3.5016
_cell_angle_alpha 90.00
_cell_angle_beta 90.00
_cell_angle_gamma 90.00
loop_
_atom_site_label
_atom_site_type_symbol
_atom_site_fract_x
_atom_site_fract_y
_atom_site_fract_z
_atom_site_occupancy
Mn1 Mn 0.0000 0.0000 0.0000 1
Co1 Co 0.5000 0.5000 0.5000 1
I1 I 0.0000 0.5000 0.0000 1
N1 N 0.0000 0.0000 0.5000 1


(4)
# CaMg4Cu2, relaxed, DFT GGA-PBE
# energy of formation from the pure elements	0.04	eV/atom
# ΔE to the lowest computed polymorph	0.127	eV/atom
data_CaMg4Cu2
_symmetry_space_group_name_H-M 'I 4/m m m'
_symmetry_Int_Tables_number 139
_symmetry_space_group_name_Hall '-I 4 2'
_cell_length_a 7.1679
_cell_length_b 7.1679
_cell_length_c 5.5241
_cell_angle_alpha 90.00
_cell_angle_beta 90.00
_cell_angle_gamma 90.00
loop_
_atom_site_label
_atom_site_type_symbol
_atom_site_fract_x
_atom_site_fract_y
_atom_site_fract_z
_atom_site_occupancy
Ca1 Ca 0.0000 0.0000 0.0000 1
Mg1 Mg 0.1985 0.1985 0.5000 1
Cu1 Cu 0.0000 0.5000 0.2500 1


(5)
# ZnAgSe2Br, relaxed, DFT GGA-PBE
# energy relative to the elements, uncorrected	267.9	meV/atom
# ΔE to the lowest computed polymorph	0.000	eV/atom
data_ZnAgSe2Br
_symmetry_space_group_name_H-M 'P 4/m m m'
_symmetry_Int_Tables_number 123
_symmetry_space_group_name_Hall '-P 4 2'
_cell_length_a 4.8209
_cell_length_b 4.8209
_cell_length_c 5.6648
_cell_angle_alpha 90.00
_cell_angle_beta 90.00
_cell_angle_gamma 90.00
loop_
_atom_site_label
_atom_site_type_symbol
_atom_site_fract_x
_atom_site_fract_y
_atom_site_fract_z
_atom_site_occupancy
Zn1 Zn 0.0000 0.0000 0.0000 1
Ag1 Ag 0.5000 0.5000 0.5000 1
Se1 Se 0.0000 0.5000 0.0000 1
Br1 Br 0.0000 0.0000 0.5000 1


(6)
# KMg4Hg12, relaxed, DFT GGA-PBE
# energy of formation from the pure elements	-0.05	eV/atom
data_KMg4Hg12
_symmetry_space_group_name_H-M 'I m -3'
_symmetry_Int_Tables_number 204
_symmetry_space_group_name_Hall '-I 2 2 3'
_cell_length_a 9.9650
_cell_length_b 9.9650
_cell_length_c 9.9650
_cell_angle_alpha 90.00
_cell_angle_beta 90.00
_cell_angle_gamma 90.00
loop_
_atom_site_label
_atom_site_type_symbol
_atom_site_fract_x
_atom_site_fract_y
_atom_site_fract_z
_atom_site_occupancy
K1 K 0.0000 0.0000 0.0000 1
Mg1 Mg 0.2500 0.2500 0.2500 1
Hg1 Hg 0.0000 0.3499 0.1530 1


(7)
# CoCuBi, relaxed, DFT GGA-PBE
# energy of formation from the pure elements	0.20	eV/atom
data_CoCuBi
_symmetry_space_group_name_H-M 'P 4/n m m'
_symmetry_Int_Tables_number 129
_cell_length_a 4.0440
_cell_length_b 4.0440
_cell_length_c 6.2281
_cell_angle_alpha 90.00
_cell_angle_beta 90.00
_cell_angle_gamma 90.00
loop_
_symmetry_equiv_pos_as_xyz
'x,y,z'
'-x,-y,-z'
'-y+1/2,x,z'
'y+1/2,-x,-z'
'-x+1/2,-y+1/2,z'
'x+1/2,y+1/2,-z'
'y,-x+1/2,z'
'-y,x+1/2,-z'
'x+1/2,-y,-z'
'-x+1/2,y,z'
'-y,-x,-z'
'y,x,z'
'-x,y+1/2,-z'
'x,-y+1/2,z'
'y+1/2,x+1/2,-z'
'-y+1/2,-x+1/2,z'
loop_
_atom_site_label
_atom_site_type_symbol
_atom_site_fract_x
_atom_site_fract_y
_atom_site_fract_z
_atom_site_occupancy
Co1 Co 0.2500 0.7500 0.0000 1
Cu1 Cu 0.2500 0.2500 0.2470 1
Bi1 Bi 0.2500 0.2500 0.7097 1


(8)
# Mn2TeMo, relaxed, DFT GGA-PBE
# energy relative to the elements, uncorrected	340.9	meV/atom
data_Mn2TeMo
_symmetry_space_group_name_H-M 'P m m m'
_symmetry_Int_Tables_number 47
_symmetry_space_group_name_Hall '-P 2 2'
_cell_length_a 3.5874
_cell_length_b 4.1241
_cell_length_c 4.2141
_cell_angle_alpha 90.00
_cell_angle_beta 90.00
_cell_angle_gamma 90.00
loop_
_atom_site_label
_atom_site_type_symbol
_atom_site_fract_x
_atom_site_fract_y
_atom_site_fract_z
_atom_site_occupancy
Mn1 Mn 0.0000 0.0000 0.0000 1
Mn2 Mn 0.5000 0.0000 0.5000 1
Te1 Te 0.0000 0.5000 0.5000 1
Mo1 Mo 0.5000 0.5000 0.0000 1


no.,total magnetic moment (μB per cell),volume (Å³ per atom)
1,3.58,19.8
2,0.00,17.2
3,2.24,19.9
4,0.00,20.3
5,0.00,26.3
6,0.00,29.1
7,0.00,17.0
8,5.08,15.6